(1)
A relaxed structure of Np2AsS6. Source: Alexandria via LeMat-Bulk, functional GGA-PBE.

Lattice parameters (Å, degrees): 6.0903 6.0903 11.9833 90.00 90.00 90.00
Closest atoms and distances in Å follow each position.
Sites, in units of the cell vectors:
1 S 0.8083 0.1917 0.1626  1 As 2.55, 2 Np 2.62-2.66
2 S 0.8083 0.1917 0.8374  1 As 2.55, 2 Np 2.62-2.66
3 S 0.1917 0.8083 0.1626  1 As 2.55, 2 Np 2.62-2.66
4 S 0.6917 0.6917 0.3374  1 As 2.55, 2 Np 2.62-2.66
5 S 0.3083 0.3083 0.3374  1 As 2.55, 2 Np 2.62-2.66
6 S 0.1975 0.8025 0.5000  1 As 2.61, 2 Np 2.63
7 S 0.8025 0.1975 0.5000  1 As 2.61, 2 Np 2.63
8 S 0.1917 0.8083 0.8374  1 As 2.55, 2 Np 2.62-2.66
9 S 0.6917 0.6917 0.6626  1 As 2.55, 2 Np 2.62-2.66
10 S 0.6975 0.6975 0.0000  1 As 2.61, 2 Np 2.63
11 S 0.3025 0.3025 0.0000  1 As 2.61, 2 Np 2.63
12 S 0.3083 0.3083 0.6626  1 As 2.55, 2 Np 2.62-2.66
13 As 0.0000 0.0000 0.0000  6 S 2.55-2.61
14 As 0.5000 0.5000 0.5000  6 S 2.55-2.61
15 Np 0.5000 0.5000 0.8327  6 S 2.62-2.66
16 Np 0.0000 0.0000 0.3327  6 S 2.62-2.66
17 Np 0.5000 0.5000 0.1673  6 S 2.62-2.66
18 Np 0.0000 0.0000 0.6673  6 S 2.62-2.66

Calculated values
**ΔE_f (raw)**: -0.748 eV per atom
**N(E_F)**: 38.85 states/eV/cell
**Symmetry**: P4_2/mnm (136)

(2)
A relaxed structure of TbF4. Source: Alexandria via LeMat-Bulk, functional GGA-PBE.

Lattice parameters (Å, degrees): 8.3724 8.3724 8.0262 66.43 66.43 84.25
Closest atoms and distances in Å follow each position.
Sites, in units of the cell vectors:
1 F 0.0000 0.5000 0.0000  2 Tb 2.25
2 F 0.5012 0.2228 0.8519  1 F 2.04
3 F 0.7772 0.4988 0.6481  1 F 2.04
4 F 0.7178 0.0230 0.6443  2 Tb 2.24-2.27
5 F 0.4081 0.5919 0.7500  2 Tb 2.24
6 F 0.4988 0.7772 0.1481  1 F 2.04
7 F 0.1694 0.0724 0.0597  2 Tb 2.22-2.25
8 F 0.0230 0.7178 0.1443  2 Tb 2.24-2.27
9 F 0.6505 0.7383 0.3718  2 Tb 2.20-2.23
10 F 0.4027 0.7925 0.9462  1 F 2.04
11 F 0.2822 0.9770 0.3557  2 Tb 2.24-2.27
12 F 0.3495 0.2617 0.6282  2 Tb 2.20-2.23
13 F 0.5000 0.0000 0.5000  2 Tb 2.25
14 F 0.7925 0.4027 0.4462  1 F 2.04
15 F 0.8306 0.9276 0.9403  2 Tb 2.22-2.25
16 F 0.2617 0.3495 0.1282  2 Tb 2.20-2.23
17 F 0.0724 0.1694 0.5597  2 Tb 2.22-2.25
18 F 0.9770 0.2822 0.8557  2 Tb 2.24-2.27
19 F 0.9276 0.8306 0.4403  2 Tb 2.22-2.25
20 F 0.2075 0.5973 0.5538  1 F 2.04
21 F 0.7383 0.6505 0.8718  2 Tb 2.20-2.23
22 F 0.5973 0.2075 0.0538  1 F 2.04
23 F 0.5919 0.4081 0.2500  2 Tb 2.24
24 F 0.2228 0.5012 0.3519  1 F 2.04
25 Tb 0.6404 0.7754 0.6357  7 F 2.20-2.46
26 Tb 0.2246 0.3596 0.8643  7 F 2.20-2.46
27 Tb 0.8024 0.1976 0.7500  8 F 2.22-2.38
28 Tb 0.3596 0.2246 0.3643  7 F 2.20-2.46
29 Tb 0.7754 0.6404 0.1357  7 F 2.20-2.46
30 Tb 0.1976 0.8024 0.2500  8 F 2.22-2.38

Calculated values
**ΔE_f (raw)**: -3.220 eV per atom
**Polymorph energy (0 for the lowest one)**: 0 meV per atom
**N(E_F)**: 18.91 states/eV/cell
**Symmetry**: C2/c (15)

What is the formula in the first record?
Np2AsS6

Look up the N(E_F) of the second one.
18.91 states/eV/cell